Density functional theory data (PBE) for a relaxed Ce2SmSnC crystal.

Unit cell a=4.941 b=4.941 c=5.093 alpha=90.00 beta=90.00 gamma=90.00
Space group P4/mmm (No. 123)
Unique sites:
Ce 0.000 0.500 0.000 [2 per cell]
Sm 0.000 0.000 0.500 [1 per cell]
Sn 0.500 0.500 0.500 [1 per cell]
C 0.000 0.000 0.000 [1 per cell]

Results
- Calculated formation energy: -0.479 eV/atom
- Uncorrected energy: -6.44 eV per atom